No. 1
Density functional theory data (PBE) for Ag3BIr after structural relaxation.

```
Ag3BIr
1.0
4.288 0.000 0.000
0.000 4.288 0.000
0.000 0.000 4.288
B Ir Ag
1 1 3
Direct
0.000 0.000 0.000
0.500 0.500 0.500
0.000 0.500 0.000
0.000 0.000 0.500
0.500 0.000 0.000
```

Calculated values
Electronic total energy, eV for the cell shown: -19.54


No. 2
Density functional theory data (PBE) for Ce3Pr2N4 after structural relaxation.

```
Ce3Pr2N4
1.0
-0.287 -2.011 2.957
5.782 -0.412 2.458
0.086 5.544 5.955
Ce Pr N
3 2 4
Direct
0.000 0.000 0.000
0.207 0.397 0.190
0.793 0.603 0.810
0.606 0.178 0.611
0.394 0.822 0.389
0.798 0.115 0.289
0.202 0.885 0.711
0.392 0.302 0.914
0.608 0.698 0.086
```

Calculated values
Uncorrected formation energy, meV per atom: -1243


No. 3
Density functional theory data (PBE) for Na3TaW after structural relaxation.

```
Na3TaW
1.0
5.482 0.000 0.000
0.000 5.482 0.000
0.000 0.000 5.482
Na W Ta
3 1 1
Direct
0.000 0.500 0.000
0.000 0.000 0.500
0.500 0.000 0.000
0.000 0.000 0.000
0.500 0.500 0.500
```

Calculated values
Electronic total energy, eV for the cell shown: -14.61


No. 4
Density functional theory data (PBE) for Ac4Cu3Ni after structural relaxation.

```
Ac4Cu3Ni
1.0
4.202 0.000 0.000
0.000 4.591 0.000
0.000 0.000 11.358
Ni Ac Cu
1 4 3
Direct
0.500 0.500 0.062
0.500 0.500 0.353
0.000 0.500 0.867
0.000 0.000 0.140
0.500 0.000 0.641
0.000 0.500 0.558
0.000 0.000 0.436
0.500 0.000 0.941
```

Calculated values
Electronic total energy, eV for the cell shown: -35.87


no.,total magnetic moment (μB per formula unit)
1,0.00
2,1.24
3,3.62
4,0.00